## w
Density functional theory data (PBE-GGA) for a relaxed structure of Tb5Pr3Er4.

The value obtained for the magnetic moment is 0.00 Bohr magnetons per cell.

a b c (Å): 6.2022 7.1562 8.7673
angles (deg): 90.00 90.09 90.17
Space group P-1 (No. 2)
Asymmetric unit:
Tb1 0.0000 0.0000 0.0000
Tb2 0.3352 0.5000 0.3336
Tb3 0.4985 0.7522 0.9997
Pr1 0.0000 0.5000 0.0000
Pr2 0.1660 0.2485 0.6653
Er1 0.1689 0.7517 0.6663
Er2 0.3340 0.0005 0.3332

---

## x
Density functional theory data (PBE-GGA) for a relaxed structure of Tb5Pr3Er4.

The value obtained for the magnetic moment is 0.63 Bohr magnetons per cell.

a b c (Å): 18.0403 5.7542 8.7119
angles (deg): 90.00 117.48 90.00
Space group C2/m (No. 12)
Asymmetric unit:
Tb1 0.0000 0.0000 0.0000
Tb2 0.1017 0.5000 0.4328
Tb3 0.1567 0.5000 0.8827
Pr1 0.0000 0.5000 0.0000
Pr2 0.1859 0.0000 0.2175
Er1 0.0323 0.0000 0.6941
Er2 0.2037 0.0000 0.6482

---

w (24.3 kJ/mol of atoms below the next structure)

---

## w
Density functional theory data (PBE-GGA) for a relaxed structure of Tb7Pr4Er.

The value obtained for the magnetic moment is 0.00 Bohr magnetons per cell.

a b c (Å): 12.1424 5.9787 12.9013
angles (deg): 90.00 117.91 90.00
Space group C2/m (No. 12)
Asymmetric unit:
Tb1 0.0000 0.0000 0.0000
Tb2 0.1378 0.5000 0.5056
Tb3 0.2118 0.0000 0.9236
Tb4 0.2378 0.5000 0.3083
Pr1 0.0544 0.0000 0.3364
Pr2 0.1366 0.5000 0.7777
Er1 0.0000 0.5000 0.0000

---

## x
Density functional theory data (PBE-GGA) for a relaxed structure of Tb7Pr4Er.

The value obtained for the magnetic moment is 0.00 Bohr magnetons per cell.

a b c (Å): 6.5893 6.8970 9.1581
angles (deg): 85.37 77.43 82.29
Space group P-1 (No. 2)
Asymmetric unit:
Tb1 0.0000 0.0000 0.0000
Tb2 0.1873 0.6054 0.3818
Tb3 0.3187 0.1983 0.6412
Tb4 0.4898 0.7464 0.0499
Pr1 0.1607 0.1147 0.3067
Pr2 0.3599 0.6905 0.7175
Er1 0.0000 0.5000 0.0000

---

x (16.8 kJ/mol of atoms below the next structure)